No. 1
Computed, not measured: an optimized crystal structure of LaYGa2Pt2 at the GGA-PBE level of DFT.

* density: 9.787 g/cm³
* calculated formation energy: -1.0601 eV per atom

Cell and atoms, written as extended XYZ:
```
6
Lattice="-1.391 3.571 2.359 -1.390 -0.575 -4.242 -5.761 -3.833 2.407" Properties=species:S:1:pos:R:3 pbc="T T T"
La 0.000 0.000 0.000
Y -2.881 -1.917 1.204
Ga -5.551 -0.579 1.897
Ga -2.990 -0.257 -1.373
Pt -2.982 1.130 0.824
Pt -5.560 -1.967 -0.299
```


No. 2
Computed, not measured: an optimized crystal structure of NdRu2O8 at the GGA-PBE level of DFT.

* density: 3.447 g/cm³
* final energy: -7.0430 eV per atom

Cell and atoms, written as extended XYZ:
```
11
Lattice="-0.369 6.792 -0.910 -5.538 -0.832 -3.966 0.099 -2.611 6.346" Properties=species:S:1:pos:R:3 pbc="T T T"
Nd -2.953 2.980 -2.438
Ru -1.611 3.580 1.499
Ru -4.196 -0.232 -0.029
O -2.174 3.328 -0.153
O -1.919 -1.709 3.039
O -2.133 2.233 2.510
O -0.419 0.503 3.925
O -5.389 2.846 -2.455
O -3.888 5.058 -1.568
O -3.675 1.116 -1.040
O -3.633 0.020 1.624
```


> Among the records above, which one has the highest density?

LaYGa2Pt2